(1)
This record from Alexandria describes a geometry-optimized Cs2Hf2Ru structure. The functional is GGA-PBE.

Geometry as POSCAR:
```
Cs2Hf2Ru
1.0
9.2537 0.0000 0.0000
0.0000 9.2537 0.0000
0.0000 0.0000 3.2485
Cs Hf Ru
4 4 2
Direct
0.1270 0.3730 0.0000 Cs
0.3730 0.8730 0.0000 Cs
0.6270 0.1270 0.0000 Cs
0.8730 0.6270 0.0000 Cs
0.1847 0.6847 0.5000 Hf
0.3153 0.1847 0.5000 Hf
0.6847 0.8153 0.5000 Hf
0.8153 0.3153 0.5000 Hf
0.0000 0.0000 0.0000 Ru
0.5000 0.5000 0.0000 Ru
```

Properties
- DOS at the Fermi energy (states/eV per cell) = 14.4
- SG = No. 127
- ΔH_f (0 K) (eV/f.u.) = 11.63

(2)
This record from Alexandria describes a geometry-optimized Na2PmGaI6 structure. The functional is GGA-PBE.

Geometry as POSCAR:
```
Na2PmGaI6
1.0
4.0433 2.3344 7.3677
-4.0433 2.3344 7.3677
0.0000 -4.6687 7.3677
Na Pm Ga I
2 1 1 6
Direct
0.0000 0.0000 0.0000 Na
0.4922 0.4922 0.4922 Na
0.6817 0.6817 0.6817 Pm
0.1889 0.1889 0.1889 Ga
0.0706 0.4231 0.7783 I
0.2864 0.8944 0.5999 I
0.4231 0.7783 0.0706 I
0.5999 0.2864 0.8944 I
0.7783 0.0706 0.4231 I
0.8944 0.5999 0.2864 I
```

Properties
- DOS at the Fermi energy (states/eV per cell) = 0.0
- SG = No. 146
- uncorrected formation energy (eV per atom) = -1.125

(3)
This record from Alexandria describes a geometry-optimized LiTmGaRh structure. The functional is GGA-PBE.

Geometry as POSCAR:
```
LiTmGaRh
1.0
0.0000 3.2330 3.2330
3.2330 0.0000 3.2330
3.2330 3.2330 0.0000
Li Tm Ga Rh
1 1 1 1
Direct
0.0000 0.0000 0.0000 Li
0.7500 0.7500 0.7500 Tm
0.2500 0.2500 0.2500 Ga
0.5000 0.5000 0.5000 Rh
```

Properties
- DOS at the Fermi energy (states/eV per cell) = 3.5
- SG = No. 216
- ΔH_f (0 K) (eV/f.u.) = -2.41

(4)
This record from Alexandria describes a geometry-optimized CsUS2O8 structure. The functional is GGA-PBE.

Geometry as POSCAR:
```
CsUS2O8
1.0
5.6322 0.0000 0.0000
-2.8161 4.8777 0.0000
0.0000 0.0000 8.9068
Cs U S O
1 1 2 8
Direct
0.0000 0.0000 0.0000 Cs
0.0000 0.0000 0.5000 U
0.3333 0.6667 0.2737 S
0.6667 0.3333 0.7263 S
0.1895 0.3789 0.3334 O
0.1895 0.8105 0.3334 O
0.3333 0.6667 0.1101 O
0.3789 0.1895 0.6666 O
0.6211 0.8105 0.3334 O
0.6667 0.3333 0.8899 O
0.8105 0.1895 0.6666 O
0.8105 0.6211 0.6666 O
```

Properties
- DOS at the Fermi energy (states/eV per cell) = 0.1
- SG = No. 164
- uncorrected formation energy (eV per atom) = -1.857

(5)
This record from Alexandria describes a geometry-optimized Ce3MgPa3N8 structure. The functional is GGA-PBE.

Geometry as POSCAR:
```
Ce3MgPa3N8
1.0
3.4531 1.9936 5.7208
-3.4531 1.9936 5.7208
0.0000 -3.9872 5.7208
Ce Mg Pa N
3 1 3 8
Direct
0.0000 0.5000 0.5000 Ce
0.5000 0.0000 0.5000 Ce
0.5000 0.5000 0.0000 Ce
0.5000 0.5000 0.5000 Mg
0.0000 0.0000 0.5000 Pa
0.0000 0.5000 0.0000 Pa
0.5000 0.0000 0.0000 Pa
0.2432 0.2432 0.2432 N
0.2433 0.7357 0.7357 N
0.2643 0.2643 0.7567 N
0.2643 0.7567 0.2643 N
0.7357 0.2433 0.7357 N
0.7357 0.7357 0.2433 N
0.7567 0.2643 0.2643 N
0.7568 0.7568 0.7568 N
```

Properties
- DOS at the Fermi energy (states/eV per cell) = 11.6
- SG = No. 166
- uncorrected formation energy (eV per atom) = -1.316

(6)
This record from Alexandria describes a geometry-optimized Hf2CoSn structure. The functional is GGA-PBE.

Geometry as POSCAR:
```
Hf2CoSn
1.0
6.7780 0.0000 0.0000
0.0000 1.6592 6.9614
0.0000 -1.6592 6.9614
Hf Co Sn
4 2 2
Direct
0.0000 0.0000 0.0000 Hf
0.0000 0.2182 0.2182 Hf
0.5000 0.0506 0.0506 Hf
0.5000 0.7347 0.7347 Hf
0.2018 0.6049 0.6049 Co
0.7982 0.6049 0.6049 Co
0.2788 0.3877 0.3877 Sn
0.7212 0.3877 0.3877 Sn
```

Properties
- DOS at the Fermi energy (states/eV per cell) = 4.9
- SG = No. 38
- ΔH_f (0 K) (eV/f.u.) = -1.14